Entry 1:
A relaxed structure of CaLa2Cu. Source: Alexandria via LeMat-Bulk, functional PBEsol.

abc: 3.6930 3.6930 9.0208
angles: 90.00 90.00 90.00
Last column: nearest neighbours and their distance in Å.
Fractional coordinates of all 4 atoms:
Ca: 0.0000 0.0000 0.0000  4 Ca 3.69, 8 La 3.92
La: 0.5000 0.5000 0.3247  4 Cu 3.05, 1 La 3.16
La: 0.5000 0.5000 0.6753  4 Cu 3.05, 1 La 3.16
Cu: 0.0000 0.0000 0.5000  8 La 3.05

Results
**Fermi-level density of states**: 4.73 states/eV/cell
**Volume**: 123.03 Å³/cell
**ΔE_f**: 0.00 eV per atom
**Raw total energy**: -4.287 eV per atom
**Energy above the lowest structure with this stoichiometry**: 0.005 eV/atom

=====

Entry 2:
A relaxed structure of Zn2PRu. Source: Alexandria via LeMat-Bulk, functional PBEsol.

abc: 2.7752 2.7752 8.3791
angles: 90.00 90.00 117.42
Last column: nearest neighbours and their distance in Å.
Fractional coordinates of all 4 atoms:
Zn: 0.0000 0.0000 0.0000  2 Ru 2.59, 8 Zn 2.61-2.88
Zn: 0.5000 0.5000 0.2601  8 Zn 2.61-2.88, 2 P 2.72
P: 0.0000 0.0000 0.5350  2 Ru 2.26
Ru: 0.5000 0.5000 0.7434  2 P 2.26

Results
**Fermi-level density of states**: 2.09 states/eV/cell
**Volume**: 57.28 Å³/cell
**ΔE_f**: 0.11 eV per atom
**Raw total energy**: -4.671 eV per atom

=====

Entry 3:
A relaxed structure of Cs2GaHgBr6. Source: Alexandria via LeMat-Bulk, functional PBEsol.

abc: 7.6941 7.6941 7.6941
angles: 60.00 60.00 60.00
Last column: nearest neighbours and their distance in Å.
Fractional coordinates of all 10 atoms:
Cs: 0.2500 0.2500 0.2500  12 Br 3.85
Cs: 0.7500 0.7500 0.7500  12 Br 3.85
Ga: 0.0000 0.0000 0.0000  6 Br 2.59
Hg: 0.5000 0.5000 0.5000  6 Br 2.85
Br: 0.2379 0.2379 0.7621  1 Ga 2.59, 1 Hg 2.85
Br: 0.2379 0.7621 0.2379  1 Ga 2.59, 1 Hg 2.85
Br: 0.2379 0.7621 0.7621  1 Ga 2.59, 1 Hg 2.85
Br: 0.7621 0.2379 0.2379  1 Ga 2.59, 1 Hg 2.85
Br: 0.7621 0.2379 0.7621  1 Ga 2.59, 1 Hg 2.85
Br: 0.7621 0.7621 0.2379  1 Ga 2.59, 1 Hg 2.85

Results
**Fermi-level density of states**: 1.08 states/eV/cell
**Volume**: 322.08 Å³/cell
**Raw total energy**: -2.804 eV per atom
**Uncorrected formation energy**: -1.103 eV/atom

=====

Entry 4:
A relaxed structure of AgP2Br. Source: Alexandria via LeMat-Bulk, functional PBEsol.

abc: 6.6051 6.6051 6.6051
angles: 150.79 145.57 45.77
Last column: nearest neighbours and their distance in Å.
Fractional coordinates of all 4 atoms:
Ag: 0.0000 0.0000 0.0000  6 P 2.65-2.89, 2 Br 2.94
P: 0.5546 0.5546 0.0000  2 P 2.22
P: 0.6754 0.1754 0.5000  2 P 2.22
Br: 0.3200 0.8200 0.5000  2 Ag 2.94, 4 P 3.11

Results
**Fermi-level density of states**: 2.04 states/eV/cell
**Volume**: 79.27 Å³/cell
**Raw total energy**: -4.038 eV per atom
**Uncorrected formation energy**: 0.153 eV/atom
**Energy above the lowest structure with this stoichiometry**: 0.000 eV/atom

=====

Entry 5:
A relaxed structure of ScInTe2. Source: Alexandria via LeMat-Bulk, functional PBEsol.

abc: 8.4044 8.4044 8.4044
angles: 154.19 152.43 38.13
Last column: nearest neighbours and their distance in Å.
Fractional coordinates of all 4 atoms:
Sc: 0.0000 0.0000 0.0000  6 Te 2.87-2.97
In: 0.7408 0.2408 0.5000  6 Te 3.20-3.59
Te: 0.1367 0.6367 0.5000  2 Sc 2.87, 4 In 3.20
Te: 0.4281 0.4281 0.0000  4 Sc 2.97

Results
**Fermi-level density of states**: 0.11 states/eV/cell
**Volume**: 119.46 Å³/cell
**Raw total energy**: -4.858 eV per atom
**Uncorrected formation energy**: -0.698 eV/atom

=====

Entry 6:
A relaxed structure of NaCd2Rh2. Source: Alexandria via LeMat-Bulk, functional PBEsol.

abc: 7.8199 7.8199 2.9368
angles: 90.00 90.00 90.00
Last column: nearest neighbours and their distance in Å.
Fractional coordinates of all 10 atoms:
Na: 0.0000 0.0000 0.0000  2 Na 2.94, 4 Rh 3.14, 8 Cd 3.23
Na: 0.5000 0.5000 0.0000  2 Na 2.94, 4 Rh 3.14, 8 Cd 3.23
Cd: 0.1781 0.3219 0.5000  6 Rh 2.71-2.77, 2 Cd 2.94
Cd: 0.3219 0.8219 0.5000  6 Rh 2.71-2.77, 2 Cd 2.94
Cd: 0.6781 0.1781 0.5000  6 Rh 2.71-2.77, 2 Cd 2.94
Cd: 0.8219 0.6781 0.5000  6 Rh 2.71-2.77, 2 Cd 2.94
Rh: 0.1163 0.6163 0.0000  1 Rh 2.57, 6 Cd 2.71-2.77
Rh: 0.3837 0.1163 0.0000  1 Rh 2.57, 6 Cd 2.71-2.77
Rh: 0.6163 0.8837 0.0000  1 Rh 2.57, 6 Cd 2.71-2.77
Rh: 0.8837 0.3837 0.0000  1 Rh 2.57, 6 Cd 2.71-2.77

Results
**Fermi-level density of states**: 8.43 states/eV/cell
**Volume**: 179.59 Å³/cell
**ΔE_f**: 0.04 eV per atom
**Raw total energy**: -3.973 eV per atom

=====

Entry 7:
A relaxed structure of GeP3N. Source: Alexandria via LeMat-Bulk, functional PBEsol.

abc: 4.6610 4.6610 4.6610
angles: 90.00 90.00 90.00
Last column: nearest neighbours and their distance in Å.
Fractional coordinates of all 5 atoms:
Ge: 0.0000 0.0000 0.0000  6 P 2.33
P: 0.0000 0.0000 0.5000  2 Ge 2.33
P: 0.0000 0.5000 0.0000  2 Ge 2.33
P: 0.5000 0.0000 0.0000  2 Ge 2.33
N: 0.5000 0.5000 0.5000  12 P 3.30

Results
**Fermi-level density of states**: 2.95 states/eV/cell
**Volume**: 101.26 Å³/cell
**Raw total energy**: -4.100 eV per atom
**Uncorrected formation energy**: 2.068 eV/atom

=====

Entry 8:
A relaxed structure of Cu2AsPt. Source: Alexandria via LeMat-Bulk, functional PBEsol.

abc: 3.7458 3.7458 3.8594
angles: 90.00 90.00 90.00
Last column: nearest neighbours and their distance in Å.
Fractional coordinates of all 4 atoms:
Cu: 0.0000 0.5000 0.0000  4 Cu 2.65, 4 As 2.69, 4 Pt 2.69
Cu: 0.5000 0.0000 0.0000  4 Cu 2.65, 4 As 2.69, 4 Pt 2.69
As: 0.0000 0.0000 0.5000  4 Pt 2.65, 8 Cu 2.69
Pt: 0.5000 0.5000 0.5000  4 As 2.65, 8 Cu 2.69

Results
**Fermi-level density of states**: 2.28 states/eV/cell
**Volume**: 54.15 Å³/cell
**ΔE_f**: -0.03 eV per atom
**Raw total energy**: -5.211 eV per atom